DFT (GGA-PBE) results for a geometry-optimized HgIrOs2 structure.

The space group is P4/mmm (No. 123) and the conventional cell measures 3.939, 3.939 and 4.078 Å, with angles of 90.00, 90.00 and 90.00 degrees. The inequivalent atoms are Hg at (0.000, 0.000, 0.000), Ir at (0.500, 0.500, 0.000) and Os at (0.000, 0.500, 0.500).

For the total energy, the calculation gives -6.9850 eV/atom. The crystal system is tetragonal. The value obtained for the energy of formation is 0.921 eV/atom. For the total magnetization, the calculation gives 1.075 Bohr magnetons per cell. For the density of states at the Fermi level, the calculation gives 1.43 states/eV per atom.